[1]
# BeSiN2 | Alexandria | GGA-PBE | optimized geometry
# E_form (uncorrected): -0.6533 eV/atom
# DFT total energy: -0.261 Ha/atom
data_BeSiN2
_symmetry_space_group_name_H-M 'R -3 m'
_symmetry_Int_Tables_number 166
_symmetry_space_group_name_Hall '-R 3 2"'
_cell_length_a 2.8696
_cell_length_b 2.8696
_cell_length_c 14.9740
_cell_angle_alpha 90.00
_cell_angle_beta 90.00
_cell_angle_gamma 120.00
loop_
_atom_site_label
_atom_site_type_symbol
_atom_site_fract_x
_atom_site_fract_y
_atom_site_fract_z
_atom_site_occupancy
Be1 Be 0.0000 0.0000 0.0000 1
Si1 Si 0.0000 0.0000 0.5000 1
N1 N 0.0000 0.0000 0.1018 1

=====

[2]
# Li2CrCl | Alexandria | GGA-PBE | optimized geometry
# E_form (uncorrected): -0.1124 eV/atom
# DFT total energy: -0.145 Ha/atom
# energy above the most stable polymorph in this dataset: 88 kJ/mol of formula units
data_Li2CrCl
_symmetry_space_group_name_H-M 'I -4 2 d'
_symmetry_Int_Tables_number 122
_symmetry_space_group_name_Hall 'I -4 2bw'
_cell_length_a 7.0061
_cell_length_b 7.0061
_cell_length_c 7.0023
_cell_angle_alpha 90.00
_cell_angle_beta 90.00
_cell_angle_gamma 90.00
loop_
_atom_site_label
_atom_site_type_symbol
_atom_site_fract_x
_atom_site_fract_y
_atom_site_fract_z
_atom_site_occupancy
Li1 Li 0.1816 0.2500 0.1250 1
Cr1 Cr 0.0000 0.0000 0.5000 1
Cl1 Cl 0.0000 0.0000 0.0000 1

=====

| no. | N(E_F) (states/eV per cell) |
| --- | --- |
| 1 | 0.00 |
| 2 | 3.96 |